(1)
A plane-wave DFT calculation with PBE was carried out for a geometry-optimized AlFe2HOs structure.

```
data_AlFe2HOs
_chemical_formula_sum 'Al1 Fe2 H1 Os1'
_symmetry_space_group_name_H-M 'P 4/m m m'
_symmetry_Int_Tables_number 123
_symmetry_space_group_name_Hall '-P 4 2'
_cell_length_a 3.616
_cell_length_b 3.616
_cell_length_c 4.080
_cell_angle_alpha 90.00
_cell_angle_beta 90.00
_cell_angle_gamma 90.00
loop_
_atom_site_label
_atom_site_fract_x
_atom_site_fract_y
_atom_site_fract_z
Al1 0.000 0.000 0.000
Fe1 0.000 0.500 0.500
H1 0.000 0.000 0.500
Os1 0.500 0.500 0.000
```

Summary:
total energy: -35.1 eV/f.u.
density of states at the Fermi level: 0.86 states/eV/atom


(2)
A plane-wave DFT calculation with PBE was carried out for a geometry-optimized AlFe2HOs structure.

```
data_AlFe2HOs
_chemical_formula_sum 'Al1 Fe2 H1 Os1'
_symmetry_space_group_name_H-M 'P 4/m m m'
_symmetry_Int_Tables_number 123
_symmetry_space_group_name_Hall '-P 4 2'
_cell_length_a 3.724
_cell_length_b 3.724
_cell_length_c 3.912
_cell_angle_alpha 90.00
_cell_angle_beta 90.00
_cell_angle_gamma 90.00
loop_
_atom_site_label
_atom_site_fract_x
_atom_site_fract_y
_atom_site_fract_z
Al1 0.000 0.000 0.000
Fe1 0.000 0.500 0.500
H1 0.500 0.500 0.500
Os1 0.500 0.500 0.000
```

Summary:
total energy: -35.5 eV/f.u.
density of states at the Fermi level: 0.88 states/eV/atom


(3)
A plane-wave DFT calculation with PBE was carried out for a geometry-optimized PaAlFe2H8 structure.

```
data_PaAlFe2H8
_chemical_formula_sum 'Pa3 Al3 Fe6 H24'
_symmetry_space_group_name_H-M 'R -3'
_symmetry_Int_Tables_number 148
_symmetry_space_group_name_Hall '-R 3'
_cell_length_a 4.3250
_cell_length_b 4.3250
_cell_length_c 16.6361
_cell_angle_alpha 90.00
_cell_angle_beta 90.00
_cell_angle_gamma 120.00
loop_
_atom_site_label
_atom_site_fract_x
_atom_site_fract_y
_atom_site_fract_z
Pa1 0.0000 0.0000 0.0000
Al1 0.0000 0.0000 0.5000
Fe1 0.0000 0.0000 0.2275
H1 0.0000 0.0000 0.3214
H2 0.0156 0.7084 0.1067
```

Summary:
total energy: -57.5 eV/f.u.
density of states at the Fermi level: 0.36 states/eV/atom


(4)
A plane-wave DFT calculation with PBE was carried out for a geometry-optimized AlFe2HPd structure.

```
data_AlFe2HPd
_chemical_formula_sum 'Al1 Fe2 H1 Pd1'
_symmetry_space_group_name_H-M 'P 4/m m m'
_symmetry_Int_Tables_number 123
_symmetry_space_group_name_Hall '-P 4 2'
_cell_length_a 3.602
_cell_length_b 3.602
_cell_length_c 4.205
_cell_angle_alpha 90.00
_cell_angle_beta 90.00
_cell_angle_gamma 90.00
loop_
_atom_site_label
_atom_site_fract_x
_atom_site_fract_y
_atom_site_fract_z
Al1 0.000 0.000 0.000
Fe1 0.000 0.500 0.500
H1 0.000 0.000 0.500
Pd1 0.500 0.500 0.000
```

Summary:
total energy: -30.2 eV/f.u.
density of states at the Fermi level: 0.46 states/eV/atom


(5)
A plane-wave DFT calculation with PBE was carried out for a geometry-optimized AlFeHPd2 structure.

```
data_AlFeHPd2
_chemical_formula_sum 'Al1 Fe1 H1 Pd2'
_symmetry_space_group_name_H-M 'P 4/m m m'
_symmetry_Int_Tables_number 123
_symmetry_space_group_name_Hall '-P 4 2'
_cell_length_a 3.930
_cell_length_b 3.930
_cell_length_c 3.815
_cell_angle_alpha 90.00
_cell_angle_beta 90.00
_cell_angle_gamma 90.00
loop_
_atom_site_label
_atom_site_fract_x
_atom_site_fract_y
_atom_site_fract_z
Al1 0.000 0.000 0.000
Fe1 0.500 0.500 0.000
H1 0.500 0.500 0.500
Pd1 0.000 0.500 0.500
```

Summary:
total energy: -27.4 eV/f.u.
density of states at the Fermi level: 0.98 states/eV/atom


(6)
A plane-wave DFT calculation with PBE was carried out for a geometry-optimized AlFe2HPd structure.

```
data_AlFe2HPd
_chemical_formula_sum 'Al1 Fe2 H1 Pd1'
_symmetry_space_group_name_H-M 'P 4/m m m'
_symmetry_Int_Tables_number 123
_symmetry_space_group_name_Hall '-P 4 2'
_cell_length_a 3.635
_cell_length_b 3.635
_cell_length_c 4.120
_cell_angle_alpha 90.00
_cell_angle_beta 90.00
_cell_angle_gamma 90.00
loop_
_atom_site_label
_atom_site_fract_x
_atom_site_fract_y
_atom_site_fract_z
Al1 0.000 0.000 0.000
Fe1 0.000 0.500 0.500
H1 0.500 0.500 0.500
Pd1 0.500 0.500 0.000
```

Summary:
total energy: -30.4 eV/f.u.
density of states at the Fermi level: 0.33 states/eV/atom


(7)
A plane-wave DFT calculation with PBE was carried out for a geometry-optimized Al2FeHPd structure.

```
data_Al2FeHPd
_chemical_formula_sum 'Al2 Fe1 H1 Pd1'
_symmetry_space_group_name_H-M 'P 4/m m m'
_symmetry_Int_Tables_number 123
_symmetry_space_group_name_Hall '-P 4 2'
_cell_length_a 4.115
_cell_length_b 4.115
_cell_length_c 3.247
_cell_angle_alpha 90.00
_cell_angle_beta 90.00
_cell_angle_gamma 90.00
loop_
_atom_site_label
_atom_site_fract_x
_atom_site_fract_y
_atom_site_fract_z
Al1 0.000 0.500 0.000
Fe1 0.000 0.000 0.500
H1 0.000 0.000 0.000
Pd1 0.500 0.500 0.500
```

Summary:
total energy: -26.4 eV/f.u.
density of states at the Fermi level: 0.48 states/eV/atom


(8)
A plane-wave DFT calculation with PBE was carried out for a geometry-optimized PmAlFe2H8 structure.

```
data_PmAlFe2H8
_chemical_formula_sum 'Pm3 Al3 Fe6 H24'
_symmetry_space_group_name_H-M 'R -3'
_symmetry_Int_Tables_number 148
_symmetry_space_group_name_Hall '-R 3'
_cell_length_a 4.4124
_cell_length_b 4.4124
_cell_length_c 16.4085
_cell_angle_alpha 90.00
_cell_angle_beta 90.00
_cell_angle_gamma 120.00
loop_
_atom_site_label
_atom_site_fract_x
_atom_site_fract_y
_atom_site_fract_z
Pm1 0.0000 0.0000 0.0000
Al1 0.0000 0.0000 0.5000
Fe1 0.0000 0.0000 0.2006
H1 0.0000 0.0000 0.2989
H2 0.0152 0.2762 0.8807
```

Summary:
total energy: -54.2 eV/f.u.
density of states at the Fermi level: 0.09 states/eV/atom